Entry 1:
This record from Alexandria via LeMat-Bulk describes crystalline In4MoBr at its relaxed geometry. The functional is PBE-GGA.

Geometry as POSCAR:
```
In4MoBr
1.0
-2.8197 -4.8914 2.0502
-2.3515 -0.0159 5.5272
-5.9622 0.0538 0.7275
Mo In Br
1 4 1
Direct
0.7500 0.7500 0.7500
0.8737 0.3754 0.3754
0.3754 0.3754 0.3754
0.3754 0.3754 0.8737
0.3754 0.8737 0.3754
0.0000 0.0000 0.0000
```

## Properties
Its symmetry is No. 216.

---

Entry 2:
This record from Alexandria via LeMat-Bulk describes crystalline In2MoBr at its relaxed geometry. The functional is PBE-GGA.

Geometry as POSCAR:
```
In2MoBr
1.0
-0.8525 2.7546 -1.9639
-4.2776 -0.2253 1.5407
1.4807 3.7834 4.6641
In Br Mo
2 1 1
Direct
0.0000 0.0000 0.9688
0.5000 0.5000 0.3134
0.5000 0.5000 0.7923
0.0000 0.0000 0.4256
```

## Properties
The value obtained for the distance to the lowest polymorph of the same formula is 362 meV per atom. Its symmetry is No. 25.

---

Entry 3:
This record from Alexandria via LeMat-Bulk describes crystalline InMoBr2 at its relaxed geometry. The functional is PBE-GGA.

Geometry as POSCAR:
```
InMoBr2
1.0
-2.3004 -4.9529 -0.0578
2.9878 -1.2889 -4.3861
2.8282 -1.9034 1.8441
Mo Br In
1 2 1
Direct
0.0000 0.5000 0.5000
0.0000 0.0000 0.0000
0.5000 0.5000 0.0000
0.5000 0.0000 0.5000
```

## Properties
The value obtained for the distance to the lowest polymorph of the same formula is 560 meV per atom. Its symmetry is No. 12.

---

Entry 4:
This record from Alexandria via LeMat-Bulk describes crystalline InMoBr4 at its relaxed geometry. The functional is PBE-GGA.

Geometry as POSCAR:
```
InMoBr4
1.0
0.0000 4.5438 4.5438
4.5438 0.0000 4.5438
4.5438 4.5438 0.0000
Br In Mo
4 1 1
Direct
0.3750 0.8749 0.3750
0.8749 0.3750 0.3750
0.3750 0.3750 0.3750
0.3750 0.3750 0.8749
0.7500 0.7500 0.7500
0.0000 0.0000 0.0000
```

## Properties
Its symmetry is No. 216.

---

Entry 5:
This record from Alexandria via LeMat-Bulk describes crystalline InMoBr2 at its relaxed geometry. The functional is PBE-GGA.

Geometry as POSCAR:
```
InMoBr2
1.0
0.0000 3.8038 3.8038
3.8038 0.0000 3.8038
3.8038 3.8038 0.0000
Br In Mo
2 1 1
Direct
0.7500 0.7500 0.7500
0.2500 0.2500 0.2500
0.5000 0.5000 0.5000
0.0000 0.0000 0.0000
```

## Properties
The value obtained for the distance to the lowest polymorph of the same formula is 572 meV per atom. Its symmetry is No. 225.

---

Entry 6:
This record from Alexandria via LeMat-Bulk describes crystalline In2MoBr at its relaxed geometry. The functional is PBE-GGA.

Geometry as POSCAR:
```
In2MoBr
1.0
-2.3751 1.8472 1.2528
-0.5793 -3.0699 -0.9289
2.4969 -3.4367 9.8009
In Mo Br
2 1 1
Direct
0.0000 0.0000 0.0221
0.5000 0.5000 0.2830
0.0000 0.0000 0.5051
0.5000 0.5000 0.6898
```

## Properties
The value obtained for the distance to the lowest polymorph of the same formula is 155 meV per atom. Its symmetry is No. 35.

---

Number 1: VASP energy -3.32 eV per atom, formation energy from raw total energies 341.8 kJ/mol of formula units. Number 2: VASP energy -3.97 eV per atom, formation energy from raw total energies 201.7 kJ/mol of formula units. Number 3: VASP energy -3.75 eV per atom, formation energy from raw total energies 183.1 kJ/mol of formula units. Number 4: VASP energy -2.55 eV per atom, formation energy from raw total energies 479.8 kJ/mol of formula units. Number 5: VASP energy -3.74 eV per atom, formation energy from raw total energies 187.7 kJ/mol of formula units. Number 6: VASP energy -4.18 eV per atom, formation energy from raw total energies 121.8 kJ/mol of formula units.